Record 1
# NaH3Rh

A relaxed NaH3Rh crystal (PBE, Alexandria).

a b c (Å): 3.487 5.676 4.797
angles (deg): 90.00 90.01 90.00
Fractional coordinates of all 10 atoms:
Na (0.500, 0.250, 0.999)
Na (0.500, 0.750, 0.001)
Rh (0.000, 0.250, 0.500)
Rh (0.000, 0.750, 0.500)
H (0.000, 0.000, 0.276)
H (0.000, 0.000, 0.724)
H (0.000, 0.500, 0.276)
H (0.000, 0.500, 0.724)
H (0.500, 0.250, 0.499)
H (0.500, 0.750, 0.501)

Values from the calculation:
- Magnetization: 0.00 μB per cell
- Symmetry: Pmma (51)

---

Record 2
# NaH3Rh

A relaxed NaH3Rh crystal (PBE, Alexandria).

a b c (Å): 5.881 3.518 4.887
angles (deg): 90.00 65.60 90.01
Fractional coordinates of all 10 atoms:
H (0.814, 0.984, 0.190)
H (0.051, 0.484, 0.822)
H (0.550, 0.484, 0.096)
H (0.051, 0.484, 0.322)
H (0.553, 0.484, 0.547)
H (0.288, 0.984, 0.454)
Rh (0.290, 0.484, 0.453)
Rh (0.813, 0.484, 0.190)
Na (0.273, 0.984, 0.961)
Na (0.829, 0.984, 0.682)

Values from the calculation:
- Magnetization: 0.00 μB per cell
- Symmetry: P2/m (10)

---

no.,energy above the most stable polymorph in this dataset (meV/atom),E_tot (eV/atom)
1,87,-3.937
2,52,-3.972